#P
Here is Sm2BeAg after structural relaxation from the Alexandria database. Energies are from PBE. Values from VASP.

Results
ρ   7.29 g/cm³
SG   Fm-3m, No. 225

Quantum ESPRESSO input file:
```
&SYSTEM
  ibrav = 0, nat = 4, ntyp = 3
/
ATOMIC_SPECIES
Be 9.01 Be.upf
Sm 150.36 Sm.upf
Ag 107.87 Ag.upf
ATOMIC_POSITIONS angstrom
Be 5.124 2.959 2.092
Sm 2.562 1.479 1.046
Sm 7.687 4.438 3.138
Ag 0.000 0.000 0.000
CELL_PARAMETERS angstrom
5.124 0.000 0.000
2.562 4.438 0.000
2.562 1.479 4.184
```

=====

#Q
Here is Sm2BeAg after structural relaxation from the Alexandria database. Energies are from PBE. Values from VASP.

Results
ρ   7.45 g/cm³
SG   P4/mmm, No. 123

Quantum ESPRESSO input file:
```
&SYSTEM
  ibrav = 0, nat = 4, ntyp = 3
/
ATOMIC_SPECIES
Ag 107.87 Ag.upf
Be 9.01 Be.upf
Sm 150.36 Sm.upf
ATOMIC_POSITIONS angstrom
Ag 3.835 0.263 2.231
Be 0.229 -0.311 2.491
Sm 5.570 0.887 -0.402
Sm 1.641 0.261 -0.118
CELL_PARAMETERS angstrom
-0.140 2.159 2.834
0.598 -2.782 2.149
7.211 1.148 -0.520
```

=====

Bottom line: #Q, by a margin of 0.057 eV/atom.

=====

#P
Here is BeAg2Sn2 after structural relaxation from the Alexandria database. Energies are from PBE. Values from VASP.

Results
ρ   7.39 g/cm³
SG   P4/mbm, No. 127

Quantum ESPRESSO input file:
```
&SYSTEM
  ibrav = 0, nat = 10, ntyp = 3
/
ATOMIC_SPECIES
Ag 107.87 Ag.upf
Sn 118.71 Sn.upf
Be 9.01 Be.upf
ATOMIC_POSITIONS angstrom
Ag 2.284 5.622 0.000
Ag 1.054 2.284 0.000
Ag 4.392 1.054 0.000
Ag 5.622 4.392 0.000
Sn 2.218 1.120 2.330
Sn 1.120 4.458 2.330
Sn 5.556 2.218 2.330
Sn 4.458 5.556 2.330
Be 0.000 0.000 0.000
Be 3.338 3.338 0.000
CELL_PARAMETERS angstrom
6.676 0.000 0.000
0.000 6.676 0.000
0.000 0.000 4.661
```

=====

#Q
Here is BeAg2Sn2 after structural relaxation from the Alexandria database. Energies are from PBE. Values from VASP.

Results
ρ   6.99 g/cm³
SG   I4/mmm, No. 139

Quantum ESPRESSO input file:
```
&SYSTEM
  ibrav = 0, nat = 5, ntyp = 3
/
ATOMIC_SPECIES
Ag 107.87 Ag.upf
Be 9.01 Be.upf
Sn 118.71 Sn.upf
ATOMIC_POSITIONS angstrom
Ag 1.048 -3.481 4.431
Ag 3.406 -2.371 3.953
Be 0.000 0.000 0.000
Sn 3.106 -3.724 6.676
Sn 1.348 -2.129 1.708
CELL_PARAMETERS angstrom
-1.195 -3.478 0.720
3.522 -1.259 -0.237
2.127 -1.115 7.901
```

=====

#R
Here is BeAg2Sn2 after structural relaxation from the Alexandria database. Energies are from PBE. Values from VASP.

Results
ρ   7.24 g/cm³
SG   P4/mbm, No. 127

Quantum ESPRESSO input file:
```
&SYSTEM
  ibrav = 0, nat = 10, ntyp = 3
/
ATOMIC_SPECIES
Sn 118.71 Sn.upf
Be 9.01 Be.upf
Ag 107.87 Ag.upf
ATOMIC_POSITIONS angstrom
Sn -2.456 -6.241 -2.752
Sn -3.202 -3.108 -1.122
Sn 0.307 -2.259 -1.147
Sn 1.052 -5.392 -2.778
Be -1.075 -4.250 -1.950
Be 0.000 0.000 0.000
Ag -0.431 -7.530 -1.058
Ag -1.201 -2.986 1.268
Ag 1.720 -4.784 0.019
Ag -3.352 -5.732 0.192
CELL_PARAMETERS angstrom
-5.719 -3.510 -1.002
3.570 -4.990 -2.897
0.517 -2.016 4.110
```

=====

Bottom line: #P, by a margin of 0.017 eV/atom.